La3Tb7: relaxed, PBE.

Summary:
As for the energy of formation: 1.8 eV/f.u. The polymorph energy (0 for the lowest one) comes out at 1.499 eV/f.u. As for the space group: No. 186. For the magnetization, the calculation gives 0.0 μB per formula unit.

```
La3Tb7
1.0
10.874 0.000 0.000
-5.437 9.417 0.000
0.000 0.000 6.592
La Tb
6 14
Direct
0.204 0.408 0.000
0.204 0.796 0.000
0.408 0.204 0.500
0.592 0.796 0.000
0.796 0.204 0.500
0.796 0.592 0.500
0.057 0.528 0.653
0.120 0.240 0.480
0.120 0.880 0.480
0.240 0.120 0.980
0.333 0.667 0.357
0.472 0.528 0.653
0.472 0.943 0.653
0.528 0.057 0.153
0.528 0.472 0.153
0.667 0.333 0.857
0.760 0.880 0.480
0.880 0.120 0.980
0.880 0.760 0.980
0.943 0.472 0.153
```

***

LaTb2: relaxed, PBE.

Summary:
As for the energy of formation: 0.1 eV/f.u. The polymorph energy (0 for the lowest one) comes out at 0.088 eV/f.u. As for the space group: No. 139. For the magnetization, the calculation gives 0.0 μB per formula unit.

```
LaTb2
1.0
3.637 0.000 0.000
0.000 3.637 0.000
0.000 0.000 15.314
La Tb
2 4
Direct
0.000 0.000 0.000
0.500 0.500 0.500
0.000 0.000 0.330
0.000 0.000 0.670
0.500 0.500 0.170
0.500 0.500 0.830
```

***

La3Tb13: relaxed, PBE.

Summary:
As for the energy of formation: 0.4 eV/f.u. The polymorph energy (0 for the lowest one) comes out at 0.102 eV/f.u. As for the space group: No. 38. For the magnetization, the calculation gives 0.0 μB per formula unit.

```
La3Tb13
1.0
7.316 0.000 0.000
0.000 5.756 6.330
0.000 -5.756 6.330
La Tb
3 13
Direct
0.000 0.000 0.000
0.252 0.747 0.747
0.748 0.747 0.747
0.000 0.414 0.918
0.000 0.496 0.496
0.000 0.918 0.414
0.250 0.251 0.251
0.251 0.169 0.662
0.251 0.662 0.169
0.500 0.001 0.001
0.500 0.410 0.920
0.500 0.496 0.496
0.500 0.920 0.410
0.749 0.169 0.662
0.749 0.662 0.169
0.750 0.251 0.251
```

***

La3Tb2: relaxed, PBE.

Summary:
As for the energy of formation: 0.1 eV/f.u. The polymorph energy (0 for the lowest one) comes out at 0.000 eV/f.u. As for the space group: No. 166. For the magnetization, the calculation gives 0.0 μB per formula unit.

```
La3Tb2
1.0
3.665 0.000 0.000
-1.833 3.174 0.000
0.000 0.000 44.944
La Tb
9 6
Direct
0.000 0.000 0.000
0.000 0.000 0.402
0.000 0.000 0.598
0.333 0.667 0.069
0.333 0.667 0.264
0.333 0.667 0.667
0.667 0.333 0.333
0.667 0.333 0.736
0.667 0.333 0.931
0.000 0.000 0.198
0.000 0.000 0.802
0.333 0.667 0.468
0.333 0.667 0.865
0.667 0.333 0.135
0.667 0.333 0.532
```

***

La2Tb17: relaxed, PBE.

Summary:
As for the energy of formation: 5.0 eV/f.u. As for the space group: No. 166. For the magnetization, the calculation gives 0.1 μB per formula unit.

```
La2Tb17
1.0
5.668 3.272 5.852
-5.668 3.272 5.852
0.000 -6.545 5.852
La Tb
2 17
Direct
0.171 0.171 0.171
0.829 0.829 0.829
0.000 0.500 0.500
0.133 0.133 0.650
0.133 0.650 0.133
0.204 0.500 0.796
0.204 0.796 0.500
0.350 0.867 0.867
0.405 0.405 0.405
0.500 0.000 0.500
0.500 0.204 0.796
0.500 0.500 0.000
0.500 0.796 0.204
0.595 0.595 0.595
0.650 0.133 0.133
0.796 0.204 0.500
0.796 0.500 0.204
0.867 0.350 0.867
0.867 0.867 0.350
```

***

La3Tb: relaxed, PBE.

Summary:
As for the energy of formation: 0.0 eV/f.u. As for the space group: No. 221. For the magnetization, the calculation gives 0.0 μB per formula unit.

```
La3Tb
1.0
5.209 0.000 0.000
0.000 5.209 0.000
0.000 0.000 5.209
La Tb
3 1
Direct
0.000 0.000 0.500
0.000 0.500 0.000
0.500 0.000 0.000
0.500 0.500 0.500
```

***

La3Tb4: relaxed, PBE.

Summary:
As for the energy of formation: 0.2 eV/f.u. The polymorph energy (0 for the lowest one) comes out at 0.000 eV/f.u. As for the space group: No. 139. For the magnetization, the calculation gives 0.0 μB per formula unit.

```
La3Tb4
1.0
3.654 0.000 0.000
0.000 3.654 0.000
0.000 0.000 35.922
La Tb
6 8
Direct
0.000 0.000 0.000
0.000 0.000 0.287
0.000 0.000 0.713
0.500 0.500 0.213
0.500 0.500 0.500
0.500 0.500 0.787
0.000 0.000 0.140
0.000 0.000 0.428
0.000 0.000 0.572
0.000 0.000 0.860
0.500 0.500 0.072
0.500 0.500 0.360
0.500 0.500 0.640
0.500 0.500 0.928
```

***

La2Tb3: relaxed, PBE.

Summary:
As for the energy of formation: 0.6 eV/f.u. As for the space group: No. 72. For the magnetization, the calculation gives 0.0 μB per formula unit.

```
La2Tb3
1.0
-3.296 8.224 3.180
3.296 -8.224 3.180
3.296 8.224 -3.180
La Tb
4 6
Direct
0.190 0.133 0.323
0.310 0.633 0.943
0.690 0.367 0.057
0.810 0.867 0.677
0.092 0.611 0.703
0.250 0.250 0.000
0.408 0.111 0.518
0.592 0.889 0.482
0.750 0.750 0.000
0.908 0.389 0.297
```